[1]
# K6Al32O51

A relaxed structure of K6Al32O51 (PBE-GGA, the Alexandria database).

Output
ρ (g/cm³): 3.27
Magnetization (μB/atom): 0.00
Uncorrected formation energy (eV per atom): -2.86
D(E_F) (states/eV/atom): 0.000

a = 9.8557 Å, b = 17.0524 Å, c = 12.0671 Å
α = 90.00°, β = 106.80°, γ = 90.00°
Space group Cm (No. 8)
Asymmetric unit:
1 K 0.0000 0.0000 0.0000
2 K 0.0657 0.3087 0.9966
3 K 0.1605 0.5000 0.9764
4 K 0.2843 0.1063 0.0188
5 Al 0.0203 0.5000 0.4226
6 Al 0.0220 0.1666 0.4329
7 Al 0.0304 0.0841 0.6927
8 Al 0.0308 0.2489 0.6941
9 Al 0.0316 0.4165 0.6852
10 Al 0.2071 0.4165 0.2656
11 Al 0.2158 0.0802 0.2687
12 Al 0.2161 0.2510 0.2776
13 Al 0.2235 0.0000 0.5321
14 Al 0.2253 0.3331 0.5332
15 Al 0.2794 0.1672 0.6918
16 Al 0.2787 0.5000 0.6895
17 Al 0.3266 0.3340 0.8316
18 Al 0.3324 0.0000 0.8162
19 Al 0.3719 0.1664 0.4809
20 Al 0.3724 0.5000 0.4807
21 Al 0.4195 0.3338 0.1374
22 Al 0.4681 0.1659 0.2718
23 Al 0.4682 0.5000 0.2779
24 O 0.0195 0.0823 0.1968
25 O 0.0241 0.2488 0.1965
26 O 0.0277 0.4049 0.1911
27 O 0.0641 0.0000 0.5819
28 O 0.0655 0.3338 0.5817
29 O 0.0768 0.1680 0.5933
30 O 0.0819 0.5000 0.5850
31 O 0.1663 0.0000 0.3757
32 O 0.1720 0.3309 0.3776
33 O 0.1814 0.1673 0.3864
34 O 0.1827 0.5000 0.3815
35 O 0.2220 0.0847 0.7657
36 O 0.2240 0.2489 0.7727
37 O 0.2235 0.4186 0.7703
38 O 0.2472 0.0000 0.1860
39 O 0.2730 0.1686 0.2060
40 O 0.2727 0.3318 0.1953
41 O 0.2774 0.5000 0.2025
42 O 0.3285 0.0891 0.5793
43 O 0.3308 0.2450 0.5843
44 O 0.3312 0.4214 0.5828
45 O 0.3699 0.3366 0.9840
46 O 0.4096 0.0000 0.9594
47 O 0.4156 0.0884 0.3828
48 O 0.4177 0.2451 0.3863
49 O 0.4183 0.4216 0.3858
50 O 0.4720 0.5000 0.7644
51 O 0.4730 0.1658 0.7625
52 O 0.4759 0.0000 0.7541
53 O 0.4771 0.3334 0.7750

[2]
# ThPaCd

A relaxed structure of ThPaCd (PBE-GGA, the Alexandria database).

Output
Energy above the most stable polymorph in this dataset (kJ per mole of atoms): 0.0
ρ (g/cm³): 11.75
Energy relative to the elements (meV/atom): 107.0
Magnetization (μB/atom): 0.00
D(E_F) (states/eV/atom): 1.849

a = 3.2480 Å, b = 3.2480 Å, c = 15.4139 Å
α = 90.00°, β = 90.00°, γ = 90.00°
Space group I4mm (No. 107)
Asymmetric unit:
1 Th 0.0000 0.0000 0.0000
2 Pa 0.0000 0.0000 0.6703
3 Cd 0.0000 0.0000 0.3302

[3]
# Ce4Al12Ag

A relaxed structure of Ce4Al12Ag (PBE-GGA, the Alexandria database).

Output
ρ (g/cm³): 4.81
Energy relative to the elements (meV/atom): -395.8
Magnetization (μB/atom): 0.06
D(E_F) (states/eV/atom): 1.188

a = 8.8156 Å, b = 8.8156 Å, c = 8.8156 Å
α = 90.00°, β = 90.00°, γ = 90.00°
Space group Im-3m (No. 229)
Asymmetric unit:
1 Ce 0.2500 0.2500 0.2500
2 Al 0.0000 0.0000 0.3042
3 Al 0.0000 0.2500 0.5000
4 Ag 0.0000 0.0000 0.0000

[4]
# Cu2Pd3

A relaxed structure of Cu2Pd3 (PBE-GGA, the Alexandria database).

Output
Energy above the most stable polymorph in this dataset (kJ per mole of atoms): 6.3
ρ (g/cm³): 10.30
Energy relative to the elements (meV/atom): -18.9
Magnetization (μB/atom): 0.00
D(E_F) (states/eV/atom): 0.958

a = 8.8930 Å, b = 2.6930 Å, c = 12.0214 Å
α = 90.00°, β = 90.00°, γ = 90.00°
Space group Pnma (No. 62)
Asymmetric unit:
1 Cu 0.1122 0.2500 0.1499
2 Cu 0.1492 0.2500 0.5414
3 Pd 0.1118 0.7500 0.3465
4 Pd 0.1148 0.2500 0.9414
5 Pd 0.1366 0.7500 0.7372

[5]
# Cs5LaO4

A relaxed structure of Cs5LaO4 (PBE-GGA, the Alexandria database).

Output
Energy above the most stable polymorph in this dataset (kJ per mole of atoms): 0.0
ρ (g/cm³): 4.60
Magnetization (μB/atom): 0.00
Uncorrected formation energy (eV per atom): -1.60

a = 8.7667 Å, b = 10.1520 Å, c = 7.0325 Å
α = 90.00°, β = 90.00°, γ = 90.00°
Space group Pmmn (No. 59, origin choice 2)
Asymmetric unit:
1 Cs 0.0112 0.0642 0.2454
2 Cs 0.2500 0.7500 0.3167
3 La 0.2500 0.2500 0.7223
4 O 0.0276 0.2500 0.8942
5 O 0.2500 0.0574 0.5416

[6]
# MgZrZn

A relaxed structure of MgZrZn (PBE-GGA, the Alexandria database).

Output
ρ (g/cm³): 4.62
Energy relative to the elements (meV/atom): 496.0
Magnetization (μB/atom): 0.00
D(E_F) (states/eV/atom): 0.381

a = 6.3856 Å, b = 6.3856 Å, c = 6.3856 Å
α = 90.00°, β = 90.00°, γ = 90.00°
Space group F-43m (No. 216)
Asymmetric unit:
1 Mg 0.0000 0.0000 0.0000
2 Zr 0.2500 0.2500 0.2500
3 Zn 0.2500 0.2500 0.7500

[7]
# CsCdSe3

A relaxed structure of CsCdSe3 (PBE-GGA, the Alexandria database).

Output
Energy above the most stable polymorph in this dataset (kJ per mole of atoms): 0.0
ρ (g/cm³): 4.99
Magnetization (μB/atom): 0.00
Uncorrected formation energy (eV per atom): -0.18
D(E_F) (states/eV/atom): 1.726

a = 5.4324 Å, b = 5.4324 Å, c = 5.4324 Å
α = 90.00°, β = 90.00°, γ = 90.00°
Space group Pm-3m (No. 221)
Asymmetric unit:
1 Cs 0.0000 0.0000 0.0000
2 Cd 0.5000 0.5000 0.5000
3 Se 0.0000 0.5000 0.5000

[8]
# SrSiSe3

A relaxed structure of SrSiSe3 (PBE-GGA, the Alexandria database).

Output
Energy above the most stable polymorph in this dataset (kJ per mole of atoms): 0.5
ρ (g/cm³): 4.15
Magnetization (μB/atom): 0.00
Uncorrected formation energy (eV per atom): -1.05
D(E_F) (states/eV/atom): 0.000

a = 12.0322 Å, b = 9.2629 Å, c = 5.0801 Å
α = 90.00°, β = 94.88°, γ = 90.00°
Space group C2/m (No. 12)
Asymmetric unit:
1 Sr 0.2027 0.0000 0.2706
2 Si 0.0000 0.3307 0.5000
3 Se 0.0991 0.5000 0.2691
4 Se 0.1328 0.2071 0.7424